1.
A plane-wave DFT calculation with GGA-PBE was carried out for crystalline Hg3AsClO4 at its relaxed geometry.

Computed properties:
DFT total energy   -3.729 eV per atom
Calculated volume   16.96 Å³/atom

Lattice parameters (Å, degrees): 8.4831 8.4831 8.4831 90.00 90.00 90.00
Closest atoms and distances in Å follow each position.
Space group P2_13 (No. 198)
Unique sites:
1 Hg 0.0495 0.4003 0.3504 (multiplicity 12)  2 O 2.26-2.37
2 As 0.0218 0.5218 0.9782 (multiplicity 4)  4 O 1.70-1.74
3 Cl 0.2351 0.7649 0.2649 (multiplicity 4)  3 Hg 2.85
4 O 0.0964 0.1277 0.3916 (multiplicity 12)  1 As 1.74
5 O 0.1374 0.6374 0.8626 (multiplicity 4)  1 As 1.70


2.
A plane-wave DFT calculation with GGA-PBE was carried out for crystalline TlHg3As2Cl3 at its relaxed geometry.

Computed properties:
DFT total energy   -2.497 eV per atom
Calculated volume   27.92 Å³/atom

Lattice parameters (Å, degrees): 6.3377 12.6273 12.5588 90.00 90.00 90.00
Closest atoms and distances in Å follow each position.
Space group Pbcm (No. 57)
Unique sites:
1 Tl 0.0123 0.2467 0.2500 (multiplicity 4)  6 Cl 3.04-3.38
2 Hg 0.0000 0.0000 0.0000 (multiplicity 4)  2 As 2.58
3 Hg 0.4548 0.0190 0.7500 (multiplicity 4)  2 As 2.59, 2 Cl 2.84
4 Hg 0.4609 0.2500 0.0000 (multiplicity 4)  2 As 2.59, 1 Cl 2.82
5 As 0.3790 0.0557 0.5508 (multiplicity 8)  1 As 2.44, 3 Hg 2.58-2.59
6 Cl 0.0935 0.7500 0.0000 (multiplicity 4)  1 Hg 2.82
7 Cl 0.0987 0.5041 0.7500 (multiplicity 4)  1 Hg 2.84
8 Cl 0.4604 0.7058 0.2500 (multiplicity 4)  1 Hg 2.84, 1 Tl 3.04